[1]
# PBE NaIr2PdSe, relaxed
data_NaIr2PdSe
_chemical_formula_sum 'Na1 Ir2 Pd1 Se1'
_symmetry_space_group_name_H-M 'P 4/m m m'
_symmetry_Int_Tables_number 123
_symmetry_space_group_name_Hall '-P 4 2'
_cell_length_a 4.660
_cell_length_b 4.660
_cell_length_c 4.450
_cell_angle_alpha 90.00
_cell_angle_beta 90.00
_cell_angle_gamma 90.00
loop_
_atom_site_label
_atom_site_fract_x
_atom_site_fract_y
_atom_site_fract_z
_atom_site_occupancy
Na1 0.000 0.000 0.000 1
Ir1 0.000 0.500 0.000 1
Pd1 0.000 0.000 0.500 1
Se1 0.500 0.500 0.500 1
# E_tot = -3.541 eV per atom
# E_form (uncorrected) = 2003 meV/atom

[2]
# PBE CsInAs, relaxed
data_CsInAs
_chemical_formula_sum 'Cs1 In1 As1'
_symmetry_space_group_name_H-M 'P 3 m 1'
_symmetry_Int_Tables_number 156
_symmetry_space_group_name_Hall 'P 3 -2"'
_cell_length_a 4.5037
_cell_length_b 4.5037
_cell_length_c 6.4587
_cell_angle_alpha 90.00
_cell_angle_beta 90.00
_cell_angle_gamma 120.00
loop_
_atom_site_label
_atom_site_fract_x
_atom_site_fract_y
_atom_site_fract_z
_atom_site_occupancy
Cs1 0.0000 0.0000 0.0000 1
In1 0.6667 0.3333 0.4515 1
As1 0.3333 0.6667 0.5919 1
# Formation energy from the elements = -0.27 eV/atom
# E_tot = -3.013 eV per atom

[3]
# PBE SrMg6Zn3, relaxed
data_SrMg6Zn3
_chemical_formula_sum 'Sr2 Mg12 Zn6'
_symmetry_space_group_name_H-M 'P 1 21/m 1'
_symmetry_Int_Tables_number 11
_symmetry_space_group_name_Hall '-P 2yb'
_cell_length_a 8.456
_cell_length_b 4.600
_cell_length_c 11.871
_cell_angle_alpha 90.00
_cell_angle_beta 100.61
_cell_angle_gamma 90.00
loop_
_atom_site_label
_atom_site_fract_x
_atom_site_fract_y
_atom_site_fract_z
_atom_site_occupancy
Sr1 0.058 0.250 0.239 1
Mg1 0.110 0.250 0.571 1
Mg2 0.272 0.750 0.017 1
Mg3 0.327 0.250 0.856 1
Mg4 0.340 0.750 0.679 1
Mg5 0.397 0.250 0.466 1
Mg6 0.399 0.750 0.276 1
Zn1 0.062 0.250 0.966 1
Zn2 0.214 0.750 0.446 1
Zn3 0.435 0.250 0.119 1
# Formation energy from the elements = -0.10 eV/atom
# E_tot = -1.605 eV per atom